NaNd2Co2O6: optimized geometry, PBE+U.

Calculated values
* uncorrected energy: -69.77 eV/cell

Unit cell a=6.7524 b=6.7524 c=6.7524 alpha=51.10 beta=51.10 gamma=51.10
Element x y z (fractional)
Na (0.0000, 0.0000, 0.0000)
Nd (0.1944, 0.1944, 0.1944)
Nd (0.8056, 0.8056, 0.8056)
Co (0.4204, 0.4204, 0.4204)
Co (0.5796, 0.5796, 0.5796)
O (0.2139, 0.7434, 0.7434)
O (0.2566, 0.2566, 0.7861)
O (0.2566, 0.7861, 0.2566)
O (0.7434, 0.2139, 0.7434)
O (0.7434, 0.7434, 0.2139)
O (0.7861, 0.2566, 0.2566)